[1]
Compound: Tb2PrTm3Se6
Source: the Alexandria database
Functional: PBE-GGA
Structure: relaxed

Computed properties:
Its space-group type is C2/m, No. 12. As for the energy relative to the elements, uncorrected: -1.732 eV/atom.

a = 7.0304 Å, b = 7.0304 Å, c = 7.1653 Å
α = 99.38°, β = 99.38°, γ = 120.23°
Positions (direct):
Tb: 0.1652 0.8348 0.0000
Tb: 0.8348 0.1652 0.0000
Pr: 0.5000 0.5000 0.0000
Tm: 0.0000 0.0000 0.5000
Tm: 0.3400 0.6600 0.5000
Tm: 0.6600 0.3400 0.5000
Se: 0.0688 0.4123 0.7356
Se: 0.2440 0.2440 0.2596
Se: 0.4123 0.0688 0.7356
Se: 0.5877 0.9312 0.2644
Se: 0.7560 0.7560 0.7404
Se: 0.9312 0.5877 0.2644

[2]
Compound: Ti3As12Pd5
Source: the Alexandria database
Functional: PBE-GGA
Structure: relaxed

Computed properties:
Its space-group type is Ia-3d, No. 230. The value obtained for the formation energy is -4.14 eV/f.u.

a = 12.9140 Å, b = 12.9140 Å, c = 12.9140 Å
α = 109.47°, β = 109.47°, γ = 109.47°
Positions (direct):
Ti: 0.1250 0.2500 0.3750
Ti: 0.1250 0.3750 0.7500
Ti: 0.2500 0.3750 0.1250
Ti: 0.2500 0.8750 0.6250
Ti: 0.3750 0.1250 0.2500
Ti: 0.3750 0.7500 0.1250
Ti: 0.6250 0.2500 0.8750
Ti: 0.6250 0.8750 0.7500
Ti: 0.7500 0.1250 0.3750
Ti: 0.7500 0.6250 0.8750
Ti: 0.8750 0.6250 0.2500
Ti: 0.8750 0.7500 0.6250
As: 0.0637 0.2324 0.1425
As: 0.0637 0.3313 0.9212
As: 0.0788 0.6425 0.4101
As: 0.0788 0.9363 0.6687
As: 0.0899 0.7324 0.6687
As: 0.0899 0.8575 0.4212
As: 0.1425 0.0637 0.2324
As: 0.1425 0.5788 0.9101
As: 0.1687 0.2324 0.5899
As: 0.1687 0.4363 0.5788
As: 0.2324 0.1425 0.0637
As: 0.2324 0.5899 0.1687
As: 0.2676 0.3313 0.9101
As: 0.2676 0.4363 0.3575
As: 0.3313 0.9101 0.2676
As: 0.3313 0.9212 0.0637
As: 0.3575 0.2676 0.4363
As: 0.3575 0.5899 0.9212
As: 0.4101 0.0788 0.6425
As: 0.4101 0.8313 0.7676
As: 0.4212 0.0899 0.8575
As: 0.4212 0.8313 0.5637
As: 0.4363 0.3575 0.2676
As: 0.4363 0.5788 0.1687
As: 0.5637 0.4212 0.8313
As: 0.5637 0.6425 0.7324
As: 0.5788 0.1687 0.4363
As: 0.5788 0.9101 0.1425
As: 0.5899 0.1687 0.2324
As: 0.5899 0.9212 0.3575
As: 0.6425 0.4101 0.0788
As: 0.6425 0.7324 0.5637
As: 0.6687 0.0788 0.9363
As: 0.6687 0.0899 0.7324
As: 0.7324 0.5637 0.6425
As: 0.7324 0.6687 0.0899
As: 0.7676 0.4101 0.8313
As: 0.7676 0.8575 0.9363
As: 0.8313 0.5637 0.4212
As: 0.8313 0.7676 0.4101
As: 0.8575 0.4212 0.0899
As: 0.8575 0.9363 0.7676
As: 0.9101 0.1425 0.5788
As: 0.9101 0.2676 0.3313
As: 0.9212 0.0637 0.3313
As: 0.9212 0.3575 0.5899
As: 0.9363 0.6687 0.0788
As: 0.9363 0.7676 0.8575
Pd: 0.0000 0.0000 0.0000
Pd: 0.0000 0.0000 0.5000
Pd: 0.0000 0.5000 0.0000
Pd: 0.0000 0.5000 0.5000
Pd: 0.1250 0.7500 0.8750
Pd: 0.1250 0.8750 0.2500
Pd: 0.2500 0.1250 0.8750
Pd: 0.2500 0.6250 0.3750
Pd: 0.3750 0.2500 0.6250
Pd: 0.3750 0.6250 0.7500
Pd: 0.5000 0.0000 0.0000
Pd: 0.5000 0.0000 0.5000
Pd: 0.5000 0.5000 0.0000
Pd: 0.5000 0.5000 0.5000
Pd: 0.6250 0.3750 0.2500
Pd: 0.6250 0.7500 0.3750
Pd: 0.7500 0.3750 0.6250
Pd: 0.7500 0.8750 0.1250
Pd: 0.8750 0.1250 0.7500
Pd: 0.8750 0.2500 0.1250

[3]
Compound: SrCdAg
Source: the Alexandria database
Functional: PBE-GGA
Structure: relaxed

Computed properties:
Its space-group type is I4mm, No. 107. The value obtained for the formation energy is -0.68 eV/f.u.

a = 6.1316 Å, b = 6.1316 Å, c = 6.1316 Å
α = 143.39°, β = 143.39°, γ = 52.74°
Positions (direct):
Sr: 0.0000 0.0000 0.0000
Cd: 0.6943 0.6943 0.0000
Ag: 0.3105 0.3105 0.0000

Number 1: calculated volume 289.2 Å³/cell. Number 2: calculated volume 1657.9 Å³/cell. Number 3: calculated volume 81.5 Å³/cell.